ScIrF3 | PBE | relaxed

As for the total energy: -29.0 eV/f.u. For the raw formation energy, the calculation gives -8.22 eV/f.u. The calculation puts the density at 6.69 g/cm³. The volume comes out at 14.6 Å³/atom. The value obtained for the excess energy over the best structure of this formula in the dataset is 0 meV/atom.

The structure belongs to space group Pm-3m (No. 221); the cell edges are 4.181, 4.181 and 4.181 Å and the angles 90.00°, 90.00° and 90.00°. Symmetry generates all atoms from Sc at (0.000, 0.000, 0.000), Ir at (0.500, 0.500, 0.500) and F at (0.000, 0.000, 0.500).

***

Pm2Zn2Hg | PBE | relaxed

The value obtained for the energy of formation from the pure elements is -0.35 eV per atom. As for the total energy: -14.1 eV/f.u. The calculation puts the density at 8.59 g/cm³. The volume comes out at 24.0 Å³/atom. The value obtained for the excess energy over the best structure of this formula in the dataset is 0 meV/atom.

The structure belongs to space group P4/mbm (No. 127); the cell edges are 7.348, 7.348 and 4.451 Å and the angles 90.00°, 90.00° and 90.00°. Symmetry generates all atoms from Pm at (0.171, 0.329, 0.000), Zn at (0.125, 0.625, 0.500) and Hg at (0.000, 0.000, 0.500).

***

Question: Which formula does entry 2 have?
Answer: Pm2Zn2Hg